Ba3Au: PBEsol geometry, SCAN.

```
4
Lattice="4.049 0.000 0.000 0.000 4.049 0.000 0.000 0.000 10.694" Properties=species:S:1:pos:R:3 pbc="T T T"
Ba 0.000 0.000 0.000
Ba 2.025 2.025 3.510
Ba 2.025 2.025 7.184
Au 0.000 0.000 5.347
```

Crystal system: tetragonal
Symmetry: P4/mmm
DFT formation energy: -0.439 eV per atom

TlInNiOs2: PBEsol geometry, SCAN.

```
5
Lattice="4.919 0.000 0.000 0.000 4.919 0.000 0.000 0.000 4.534" Properties=species:S:1:pos:R:3 pbc="T T T"
Tl 0.000 0.000 0.000
In 2.459 2.459 2.267
Ni 0.000 0.000 2.267
Os 0.000 2.459 0.000
Os 2.459 0.000 0.000
```

Crystal system: tetragonal
Symmetry: P4/mmm
DFT formation energy: 2.375 eV per atom

B5H2Pb2O11: PBEsol geometry, SCAN.

```
80
Lattice="6.594 0.000 0.000 0.000 11.464 0.000 -6.520 0.000 11.214" Properties=species:S:1:pos:R:3 pbc="T T T"
B -1.370 2.148 2.427
B -4.630 3.584 8.035
B -0.019 0.046 2.559
B -3.279 5.687 8.166
B -4.423 8.171 10.847
B -1.163 9.025 5.239
B -2.888 8.206 8.899
B 0.372 8.990 3.292
B 0.903 2.220 3.442
B -2.357 3.512 9.050
B 2.431 7.952 2.165
B -0.829 9.244 7.772
B -0.298 2.474 7.922
B 2.962 3.258 2.315
B 1.237 2.439 5.975
B 4.497 3.293 0.368
B 3.353 5.778 3.049
B 0.093 11.419 8.656
B 4.704 7.880 3.180
B 1.444 9.316 8.787
H -1.108 5.995 4.911
H -4.368 11.201 10.518
H -1.185 0.718 5.595
H -4.445 5.014 11.202
H 4.519 6.450 0.013
H 1.259 10.746 5.620
H 4.442 0.263 0.696
H 1.182 5.469 6.304
Pb -5.439 2.616 10.891
Pb -2.180 3.116 5.283
Pb -3.128 0.336 7.639
Pb 0.132 5.396 2.032
Pb -0.057 6.068 9.183
Pb 3.202 11.128 3.575
Pb 2.254 8.348 5.931
Pb 5.514 8.848 0.324
O -1.073 0.744 1.994
O -4.333 4.988 7.601
O -5.431 8.425 9.937
O -2.171 8.772 4.330
O -2.163 0.728 5.485
O -5.423 5.004 11.092
O -0.474 7.889 2.811
O -3.733 9.307 8.419
O -3.330 7.038 8.100
O -0.070 10.158 2.493
O -0.520 2.543 3.540
O -3.779 3.189 9.147
O 1.708 8.154 0.923
O -1.552 9.043 6.531
O 2.588 0.140 0.122
O -0.672 5.592 5.729
O 1.010 0.726 3.165
O -2.249 5.006 8.772
O -3.149 7.961 10.374
O 0.110 9.236 4.767
O -1.719 2.733 7.990
O 1.541 2.999 2.383
O -1.467 8.465 8.831
O 1.793 8.732 3.224
O -0.036 2.228 6.447
O 3.224 3.504 0.840
O 2.324 6.458 2.443
O -0.936 10.738 8.050
O 0.746 5.872 5.485
O -2.514 11.324 11.093
O 1.626 2.421 4.684
O -1.633 3.311 10.291
O 3.854 8.275 2.067
O 0.594 8.921 7.675
O 0.144 1.306 8.721
O 3.404 4.426 3.114
O 3.808 2.157 2.796
O 0.548 3.575 8.403
O 5.497 6.460 0.122
O 2.237 10.736 5.730
O 2.245 2.693 6.884
O 5.505 3.040 1.277
O 4.407 6.477 3.613
O 1.147 10.720 9.220
```

Crystal system: monoclinic
Symmetry: P2_1/c
Calculated total energy: -15.28 eV/atom

Li2CrRe: PBEsol geometry, SCAN.

```
4
Lattice="-1.405 2.000 4.662 1.405 -2.000 4.662 1.405 2.000 -4.662" Properties=species:S:1:pos:R:3 pbc="T T T"
Li 0.000 0.000 2.296
Li 0.000 0.000 7.027
Cr 1.405 0.000 0.000
Re 0.000 2.000 0.000
```

Crystal system: orthorhombic
Symmetry: Immm
DFT formation energy: 0.298 eV per atom

ScPdAu3: PBEsol geometry, SCAN.

```
5
Lattice="4.897 0.000 0.000 0.000 4.897 0.000 0.000 0.000 4.897" Properties=species:S:1:pos:R:3 pbc="T T T"
Sc 0.000 0.000 0.000
Pd 2.449 2.449 2.449
Au 0.000 0.000 2.449
Au 0.000 2.449 0.000
Au 2.449 0.000 0.000
```

Crystal system: cubic
Symmetry: Pm-3m
DFT formation energy: 0.672 eV per atom

Ba2GaAsSe5: PBEsol geometry, SCAN.

```
36
Lattice="12.531 0.000 0.000 0.000 8.899 0.000 0.000 0.000 9.162" Properties=species:S:1:pos:R:3 pbc="T T T"
Ba 2.202 0.052 1.196
Ba 2.202 4.398 1.196
Ba 4.063 4.501 5.777
Ba 4.063 8.848 5.777
Ba 8.468 0.052 3.385
Ba 8.468 4.398 3.385
Ba 10.329 4.501 7.966
Ba 10.329 8.848 7.966
Ga 1.185 6.675 7.659
Ga 5.080 2.225 3.078
Ga 7.451 6.675 6.085
Ga 11.346 2.225 1.504
As 0.408 6.675 4.480
As 5.858 2.225 9.062
As 6.674 6.675 0.101
As 12.123 2.225 4.682
Se 0.169 2.225 8.728
Se 0.671 4.829 6.133
Se 0.671 8.520 6.133
Se 2.664 6.675 3.626
Se 2.767 2.225 3.645
Se 3.499 6.675 8.226
Se 3.601 2.225 8.207
Se 5.594 0.380 1.552
Se 5.594 4.070 1.552
Se 6.097 6.675 4.147
Se 6.434 2.225 5.016
Se 6.937 4.829 7.611
Se 6.937 8.520 7.611
Se 8.930 6.675 0.955
Se 9.032 2.225 0.936
Se 9.764 6.675 5.517
Se 9.867 2.225 5.536
Se 11.860 0.380 3.030
Se 11.860 4.070 3.030
Se 12.362 6.675 0.434
```

Crystal system: orthorhombic
Symmetry: Pnma
Calculated total energy: -25.34 eV/atom

VOF: PBEsol geometry, SCAN.

```
6
Lattice="3.169 -3.450 0.000 3.169 3.450 0.000 0.000 0.000 2.930" Properties=species:S:1:pos:R:3 pbc="T T T"
V 0.000 0.000 0.000
V 3.169 0.000 1.465
O 1.284 0.000 1.465
O 5.054 0.000 1.465
F 3.169 1.396 0.000
F 3.169 -1.396 0.000
```

Crystal system: orthorhombic
Symmetry: Cmmm
Calculated total energy: -11.97 eV/atom

SrTa2Hg: PBEsol geometry, SCAN.

```
4
Lattice="1.659 0.958 9.709 -1.659 0.958 9.709 0.000 -1.916 9.709" Properties=species:S:1:pos:R:3 pbc="T T T"
Sr 0.000 0.000 0.000
Ta 0.000 0.000 6.822
Ta 0.000 0.000 14.668
Hg 0.000 0.000 22.113
```

Crystal system: trigonal
Symmetry: R3m
DFT formation energy: 0.506 eV per atom

| no. | density of states at the Fermi level (states/eV/cell) |
| --- | --- |
| 1 | 2.99 |
| 2 | 4.79 |
| 3 | 0.00 |
| 4 | 1.97 |
| 5 | 5.51 |
| 6 | 0.00 |
| 7 | 1.44 |
| 8 | 4.52 |